# Fe2PBr (PBE, relaxed)
# * excess energy over the best structure of this formula in the dataset: 91 meV/atom
# * E_form (uncorrected): -0.046 eV/atom
# * crystal system: trigonal
data_Fe2PBr
_chemical_formula_sum 'Fe2 P1 Br1'
_space_group_name_H-M_alt 'P 1'
_space_group_IT_number 1
_space_group_name_Hall 'P 1'
_cell_length_a 6.1865
_cell_length_b 6.1865
_cell_length_c 6.1865
_cell_angle_alpha 32.46
_cell_angle_beta 32.46
_cell_angle_gamma 32.46
loop_
_atom_site_label
_atom_site_type_symbol
_atom_site_fract_x
_atom_site_fract_y
_atom_site_fract_z
_atom_site_occupancy
Fe1 Fe 0.2192 0.2192 0.2192 1
Fe2 Fe 0.7808 0.7808 0.7808 1
P1 P 0.5000 0.5000 0.5000 1
Br1 Br 0.0000 0.0000 0.0000 1

***

# Fe2PBr (PBE, relaxed)
# * excess energy over the best structure of this formula in the dataset: 148 meV/atom
# * E_form (uncorrected): 0.011 eV/atom
# * crystal system: monoclinic
data_Fe2PBr
_chemical_formula_sum 'Fe2 P1 Br1'
_space_group_name_H-M_alt 'P 1'
_space_group_IT_number 1
_space_group_name_Hall 'P 1'
_cell_length_a 3.3913
_cell_length_b 3.6710
_cell_length_c 6.1125
_cell_angle_alpha 90.00
_cell_angle_beta 90.26
_cell_angle_gamma 90.00
loop_
_atom_site_label
_atom_site_type_symbol
_atom_site_fract_x
_atom_site_fract_y
_atom_site_fract_z
_atom_site_occupancy
Fe1 Fe 0.0000 0.0000 0.0000 1
Fe2 Fe 0.5004 0.5000 0.0233 1
P1 P 0.9985 0.5000 0.7750 1
Br1 Br 0.5024 0.0000 0.3141 1

***

# Fe2PBr (PBE, relaxed)
# * excess energy over the best structure of this formula in the dataset: 567 meV/atom
# * E_form (uncorrected): 0.430 eV/atom
# * crystal system: monoclinic
data_Fe2PBr
_chemical_formula_sum 'Fe2 P1 Br1'
_space_group_name_H-M_alt 'P 1'
_space_group_IT_number 1
_space_group_name_Hall 'P 1'
_cell_length_a 3.8868
_cell_length_b 3.2456
_cell_length_c 5.0779
_cell_angle_alpha 90.00
_cell_angle_beta 90.50
_cell_angle_gamma 90.00
loop_
_atom_site_label
_atom_site_type_symbol
_atom_site_fract_x
_atom_site_fract_y
_atom_site_fract_z
_atom_site_occupancy
Fe1 Fe 0.0000 0.0000 0.0000 1
Fe2 Fe 0.5000 0.5000 0.5000 1
P1 P 0.0000 0.0000 0.5000 1
Br1 Br 0.5000 0.5000 0.0000 1

***

# FeP4Br (PBE, relaxed)
# * E_form (uncorrected): 0.669 eV/atom
# * crystal system: cubic
data_FeP4Br
_chemical_formula_sum 'Fe1 P4 Br1'
_space_group_name_H-M_alt 'P 1'
_space_group_IT_number 1
_space_group_name_Hall 'P 1'
_cell_length_a 5.6998
_cell_length_b 5.6998
_cell_length_c 5.6998
_cell_angle_alpha 60.00
_cell_angle_beta 60.00
_cell_angle_gamma 60.00
loop_
_atom_site_label
_atom_site_type_symbol
_atom_site_fract_x
_atom_site_fract_y
_atom_site_fract_z
_atom_site_occupancy
Fe1 Fe 0.0000 0.0000 0.0000 1
P1 P 0.2072 0.5976 0.5976 1
P2 P 0.5976 0.2072 0.5976 1
P3 P 0.5976 0.5976 0.2072 1
P4 P 0.5976 0.5976 0.5976 1
Br1 Br 0.2500 0.2500 0.2500 1

***

# Fe2PBr (PBE, relaxed)
# * excess energy over the best structure of this formula in the dataset: 428 meV/atom
# * E_form (uncorrected): 0.290 eV/atom
# * crystal system: tetragonal
data_Fe2PBr
_chemical_formula_sum 'Fe4 P2 Br2'
_space_group_name_H-M_alt 'P 1'
_space_group_IT_number 1
_space_group_name_Hall 'P 1'
_cell_length_a 6.4496
_cell_length_b 6.4496
_cell_length_c 6.4496
_cell_angle_alpha 133.46
_cell_angle_beta 133.46
_cell_angle_gamma 67.93
loop_
_atom_site_label
_atom_site_type_symbol
_atom_site_fract_x
_atom_site_fract_y
_atom_site_fract_z
_atom_site_occupancy
Fe1 Fe 0.0876 0.6250 0.9626 1
Fe2 Fe 0.3750 0.3376 0.4626 1
Fe3 Fe 0.6624 0.1250 0.0374 1
Fe4 Fe 0.8750 0.9124 0.5374 1
P1 P 0.0000 0.0000 0.0000 1
P2 P 0.7500 0.2500 0.5000 1
Br1 Br 0.2500 0.7500 0.5000 1
Br2 Br 0.5000 0.5000 0.0000 1

***

# Fe3PBr (PBE, relaxed)
# * excess energy over the best structure of this formula in the dataset: 0 meV/atom
# * E_form (uncorrected): 0.528 eV/atom
# * crystal system: cubic
data_Fe3PBr
_chemical_formula_sum 'Fe3 P1 Br1'
_space_group_name_H-M_alt 'P 1'
_space_group_IT_number 1
_space_group_name_Hall 'P 1'
_cell_length_a 4.3262
_cell_length_b 4.3262
_cell_length_c 4.3262
_cell_angle_alpha 90.00
_cell_angle_beta 90.00
_cell_angle_gamma 90.00
loop_
_atom_site_label
_atom_site_type_symbol
_atom_site_fract_x
_atom_site_fract_y
_atom_site_fract_z
_atom_site_occupancy
Fe1 Fe 0.0000 0.0000 0.5000 1
Fe2 Fe 0.0000 0.5000 0.0000 1
Fe3 Fe 0.5000 0.0000 0.0000 1
P1 P 0.0000 0.0000 0.0000 1
Br1 Br 0.5000 0.5000 0.5000 1

***

# FePBr (PBE, relaxed)
# * excess energy over the best structure of this formula in the dataset: 1081 meV/atom
# * E_form (uncorrected): 1.020 eV/atom
# * crystal system: cubic
data_FePBr
_chemical_formula_sum 'Fe1 P1 Br1'
_space_group_name_H-M_alt 'P 1'
_space_group_IT_number 1
_space_group_name_Hall 'P 1'
_cell_length_a 4.4261
_cell_length_b 4.4261
_cell_length_c 4.4261
_cell_angle_alpha 60.00
_cell_angle_beta 60.00
_cell_angle_gamma 60.00
loop_
_atom_site_label
_atom_site_type_symbol
_atom_site_fract_x
_atom_site_fract_y
_atom_site_fract_z
_atom_site_occupancy
Fe1 Fe 0.0000 0.0000 0.0000 1
P1 P 0.7500 0.7500 0.7500 1
Br1 Br 0.5000 0.5000 0.5000 1

***

# FePBr3 (PBE, relaxed)
# * excess energy over the best structure of this formula in the dataset: 53 meV/atom
# * E_form (uncorrected): 0.676 eV/atom
# * crystal system: cubic
data_FePBr3
_chemical_formula_sum 'Fe1 P1 Br3'
_space_group_name_H-M_alt 'P 1'
_space_group_IT_number 1
_space_group_name_Hall 'P 1'
_cell_length_a 4.8100
_cell_length_b 4.8100
_cell_length_c 4.8100
_cell_angle_alpha 90.00
_cell_angle_beta 90.00
_cell_angle_gamma 90.00
loop_
_atom_site_label
_atom_site_type_symbol
_atom_site_fract_x
_atom_site_fract_y
_atom_site_fract_z
_atom_site_occupancy
Fe1 Fe 0.0000 0.0000 0.0000 1
P1 P 0.5000 0.5000 0.5000 1
Br1 Br 0.0000 0.0000 0.5000 1
Br2 Br 0.0000 0.5000 0.0000 1
Br3 Br 0.5000 0.0000 0.0000 1

***

# FePBr4 (PBE, relaxed)
# * E_form (uncorrected): 1.364 eV/atom
# * crystal system: cubic
data_FePBr4
_chemical_formula_sum 'Fe1 P1 Br4'
_space_group_name_H-M_alt 'P 1'
_space_group_IT_number 1
_space_group_name_Hall 'P 1'
_cell_length_a 6.2176
_cell_length_b 6.2176
_cell_length_c 6.2176
_cell_angle_alpha 60.00
_cell_angle_beta 60.00
_cell_angle_gamma 60.00
loop_
_atom_site_label
_atom_site_type_symbol
_atom_site_fract_x
_atom_site_fract_y
_atom_site_fract_z
_atom_site_occupancy
Fe1 Fe 0.0000 0.0000 0.0000 1
P1 P 0.7500 0.7500 0.7500 1
Br1 Br 0.3743 0.3743 0.3743 1
Br2 Br 0.3743 0.3743 0.8770 1
Br3 Br 0.3743 0.8770 0.3743 1
Br4 Br 0.8770 0.3743 0.3743 1

***

# Fe2PBr (PBE, relaxed)
# * excess energy over the best structure of this formula in the dataset: 746 meV/atom
# * E_form (uncorrected): 0.609 eV/atom
# * crystal system: monoclinic
data_Fe2PBr
_chemical_formula_sum 'Fe2 P1 Br1'
_space_group_name_H-M_alt 'P 1'
_space_group_IT_number 1
_space_group_name_Hall 'P 1'
_cell_length_a 4.9248
_cell_length_b 4.9248
_cell_length_c 3.0497
_cell_angle_alpha 106.28
_cell_angle_beta 106.28
_cell_angle_gamma 90.46
loop_
_atom_site_label
_atom_site_type_symbol
_atom_site_fract_x
_atom_site_fract_y
_atom_site_fract_z
_atom_site_occupancy
Fe1 Fe 0.0000 0.5000 0.0000 1
Fe2 Fe 0.5000 0.0000 0.0000 1
P1 P 0.0000 0.0000 0.0000 1
Br1 Br 0.5000 0.5000 0.0000 1

***

# Fe2PBr (PBE, relaxed)
# * excess energy over the best structure of this formula in the dataset: 0 meV/atom
# * E_form (uncorrected): -0.137 eV/atom
# * crystal system: monoclinic
data_Fe2PBr
_chemical_formula_sum 'Fe2 P1 Br1'
_space_group_name_H-M_alt 'P 1'
_space_group_IT_number 1
_space_group_name_Hall 'P 1'
_cell_length_a 3.5970
_cell_length_b 3.5970
_cell_length_c 5.9417
_cell_angle_alpha 90.60
_cell_angle_beta 90.60
_cell_angle_gamma 59.96
loop_
_atom_site_label
_atom_site_type_symbol
_atom_site_fract_x
_atom_site_fract_y
_atom_site_fract_z
_atom_site_occupancy
Fe1 Fe 0.0000 0.0000 0.0000 1
Fe2 Fe 0.6634 0.6634 0.7210 1
P1 P 0.3312 0.3312 0.8303 1
Br1 Br 0.6611 0.6611 0.3246 1

***

# FePBr (PBE, relaxed)
# * excess energy over the best structure of this formula in the dataset: 512 meV/atom
# * E_form (uncorrected): 0.451 eV/atom
# * crystal system: cubic
data_FePBr
_chemical_formula_sum 'Fe1 P1 Br1'
_space_group_name_H-M_alt 'P 1'
_space_group_IT_number 1
_space_group_name_Hall 'P 1'
_cell_length_a 4.0979
_cell_length_b 4.0979
_cell_length_c 4.0979
_cell_angle_alpha 60.00
_cell_angle_beta 60.00
_cell_angle_gamma 60.00
loop_
_atom_site_label
_atom_site_type_symbol
_atom_site_fract_x
_atom_site_fract_y
_atom_site_fract_z
_atom_site_occupancy
Fe1 Fe 0.0000 0.0000 0.0000 1
P1 P 0.7500 0.7500 0.7500 1
Br1 Br 0.2500 0.2500 0.2500 1